No. 1
NpGeCl5 | PBE | optimized geometry

ΔE_f (raw): -1.263 eV/atom
E: -5.090 eV per atom

Structure (CIF):
```
data_NpGeCl5
_chemical_formula_sum 'Np4 Ge4 Cl20'
_symmetry_space_group_name_H-M 'C 1 2/c 1'
_symmetry_Int_Tables_number 15
_cell_length_a 10.5895
_cell_length_b 9.7525
_cell_length_c 10.3709
_cell_angle_alpha 90.00
_cell_angle_beta 115.98
_cell_angle_gamma 90.00
loop_
_symmetry_equiv_pos_as_xyz
'x,y,z'
'-x,-y,-z'
'-x,y,-z+1/2'
'x,-y,z+1/2'
'x+1/2,y+1/2,z'
'-x+1/2,-y+1/2,-z'
'-x+1/2,y+1/2,-z+1/2'
'x+1/2,-y+1/2,z+1/2'
loop_
_atom_site_label
_atom_site_fract_x
_atom_site_fract_y
_atom_site_fract_z
Np1 0.2500 0.2500 0.0000
Ge1 0.0000 0.0845 0.2500
Cl1 0.0000 0.2505 0.7500
Cl2 0.0971 0.2654 0.1564
Cl3 0.2251 0.0256 0.4962
```

***

No. 2
RbNpGeCl6 | PBE | optimized geometry

ΔE_f (raw): -1.415 eV/atom
E: -4.704 eV per atom

Structure (CIF):
```
data_RbNpGeCl6
_chemical_formula_sum 'Rb4 Np4 Ge4 Cl24'
_symmetry_space_group_name_H-M 'I m m a'
_symmetry_Int_Tables_number 74
_symmetry_space_group_name_Hall '-I 2b 2'
_cell_length_a 9.7768
_cell_length_b 10.1061
_cell_length_c 14.1748
_cell_angle_alpha 90.00
_cell_angle_beta 90.00
_cell_angle_gamma 90.00
loop_
_atom_site_label
_atom_site_fract_x
_atom_site_fract_y
_atom_site_fract_z
Rb1 0.0000 0.2500 0.0324
Np1 0.0000 0.0000 0.5000
Ge1 0.2500 0.2500 0.7500
Cl1 0.0000 0.2500 0.4229
Cl2 0.0000 0.2500 0.8077
Cl3 0.2141 0.0589 0.6168
```

***

no.,M_tot (μB/f.u.)
1,4.00
2,4.00